This record from Alexandria describes a relaxed Li4Ho3ZrTe8 crystal. The functional is PBE-GGA.

Cell lengths 8.609, 8.609, 8.609 Å; angles 59.23, 59.23, 59.23 degrees
Fractional coordinates of all 16 atoms:
1 Li 0.000 0.000 0.000
2 Li 0.000 0.500 0.500
3 Li 0.500 0.000 0.500
4 Li 0.500 0.500 0.000
5 Ho 0.000 0.000 0.500
6 Ho 0.000 0.500 0.000
7 Ho 0.500 0.000 0.000
8 Zr 0.500 0.500 0.500
9 Te 0.253 0.253 0.253
10 Te 0.254 0.254 0.740
11 Te 0.254 0.740 0.254
12 Te 0.260 0.746 0.746
13 Te 0.740 0.254 0.254
14 Te 0.746 0.260 0.746
15 Te 0.746 0.746 0.260
16 Te 0.747 0.747 0.747

Summary:
M_tot: 0.00 μB/cell
Uncorrected formation energy: -1.175 eV per atom
N(E_F): 4.43 states/eV/cell
Electronic total energy: -4.62 eV per atom